Entry from Alexandria: a relaxed Na3ZnGa8 crystal (PBE).

It has space group R3m (No. 160, hexagonal axes), with a = 5.6057 Å, b = 5.6057 Å, c = 27.0022 Å, α = 90.00°, β = 90.00° and γ = 120.00°. The asymmetric unit holds Na at (0.0000, 0.0000, 0.0000), Na at (0.0000, 0.0000, 0.1249), Na at (0.0000, 0.0000, 0.6211), Zn at (0.0000, 0.0000, 0.4919), Ga at (0.0000, 0.0000, 0.3137), Ga at (0.0000, 0.0000, 0.8113), Ga at (0.1670, 0.3341, 0.3966) and Ga at (0.1669, 0.3338, 0.8938).

***

Entry from Alexandria: a relaxed NaZn10Ga2 crystal (PBE).

It has space group Fmmm (No. 69), with a = 5.391 Å, b = 12.642 Å, c = 12.752 Å, α = 90.00°, β = 90.00° and γ = 90.00°. The asymmetric unit holds Na at (0.000, 0.000, 0.000), Zn at (0.000, 0.110, 0.393), Zn at (0.000, 0.180, 0.175), Zn at (0.250, 0.250, 0.000) and Ga at (0.250, 0.000, 0.250).

***

Ordered total magnetic moment results: 0.000 0.000; unit μB/atom.
Ordered VASP energy results: -2.505 -1.541; unit eV/atom.